VASP calculation (PBE) on a relaxed structure of KAgSb2Au.

Values from the calculation:
* calculated volume: 27.5 Å³/atom
* total moment: 0.00 μB per cell
* raw formation energy: -0.24 eV/atom

abc: 4.8534 4.8534 6.7789
angles: 110.98 110.98 90.00
With the nearest neighbours (Å) after each atom.
Fractional coordinates of all 5 atoms:
K  0.0000  0.0000  0.0000  8 Sb 3.73, 4 Ag 3.80, 4 Au 3.80
Ag  0.2500  0.7500  0.5000  4 Sb 2.84
Sb  0.6244  0.6244  0.2488  2 Au 2.84, 2 Ag 2.84, 1 Sb 2.91
Sb  0.3756  0.3756  0.7512  2 Ag 2.84, 2 Au 2.84, 1 Sb 2.91
Au  0.7500  0.2500  0.5000  4 Sb 2.84